Record 1
Entry from Alexandria: a relaxed Cr5Pb3S12 crystal (PBE).

abc: 13.115 13.115 13.115
angles: 109.47 109.47 109.47
Element x y z (fractional)
Cr 0.000 0.000 0.000
Cr 0.000 0.000 0.500
Cr 0.000 0.500 0.000
Cr 0.000 0.500 0.500
Cr 0.125 0.750 0.875
Cr 0.125 0.875 0.250
Cr 0.250 0.125 0.875
Cr 0.250 0.625 0.375
Cr 0.375 0.250 0.625
Cr 0.375 0.625 0.750
Cr 0.500 0.000 0.000
Cr 0.500 0.000 0.500
Cr 0.500 0.500 0.000
Cr 0.500 0.500 0.500
Cr 0.625 0.375 0.250
Cr 0.625 0.750 0.375
Cr 0.750 0.375 0.625
Cr 0.750 0.875 0.125
Cr 0.875 0.125 0.750
Cr 0.875 0.250 0.125
Pb 0.125 0.250 0.375
Pb 0.125 0.375 0.750
Pb 0.250 0.375 0.125
Pb 0.250 0.875 0.625
Pb 0.375 0.125 0.250
Pb 0.375 0.750 0.125
Pb 0.625 0.250 0.875
Pb 0.625 0.875 0.750
Pb 0.750 0.125 0.375
Pb 0.750 0.625 0.875
Pb 0.875 0.625 0.250
Pb 0.875 0.750 0.625
S 0.015 0.198 0.114
S 0.015 0.317 0.901
S 0.084 0.698 0.683
S 0.084 0.886 0.401
S 0.099 0.614 0.416
S 0.099 0.985 0.683
S 0.114 0.015 0.198
S 0.114 0.599 0.916
S 0.183 0.198 0.584
S 0.183 0.485 0.599
S 0.198 0.114 0.015
S 0.198 0.584 0.183
S 0.302 0.317 0.916
S 0.302 0.485 0.386
S 0.317 0.901 0.015
S 0.317 0.916 0.302
S 0.386 0.302 0.485
S 0.386 0.584 0.901
S 0.401 0.084 0.886
S 0.401 0.817 0.515
S 0.416 0.099 0.614
S 0.416 0.817 0.802
S 0.485 0.386 0.302
S 0.485 0.599 0.183
S 0.515 0.401 0.817
S 0.515 0.614 0.698
S 0.584 0.183 0.198
S 0.584 0.901 0.386
S 0.599 0.183 0.485
S 0.599 0.916 0.114
S 0.614 0.416 0.099
S 0.614 0.698 0.515
S 0.683 0.084 0.698
S 0.683 0.099 0.985
S 0.698 0.515 0.614
S 0.698 0.683 0.084
S 0.802 0.416 0.817
S 0.802 0.886 0.985
S 0.817 0.515 0.401
S 0.817 0.802 0.416
S 0.886 0.401 0.084
S 0.886 0.985 0.802
S 0.901 0.015 0.317
S 0.901 0.386 0.584
S 0.916 0.114 0.599
S 0.916 0.302 0.317
S 0.985 0.683 0.099
S 0.985 0.802 0.886

Summary:
formation energy without anion corrections = -0.482 eV per atom
calculated density = 4.84 g cm⁻³

Record 2
Entry from Alexandria: a relaxed RbSm2Cd crystal (PBE).

abc: 12.901 12.901 12.901
angles: 16.57 16.57 16.57
Element x y z (fractional)
Rb 0.000 0.000 0.000
Sm 0.103 0.103 0.103
Sm 0.897 0.897 0.897
Cd 0.500 0.500 0.500

Summary:
ΔH_f (0 K) = 0.22 eV/atom
calculated density = 5.44 g cm⁻³

Record 3
Entry from Alexandria: a relaxed Cs12K6Bi crystal (PBE).

abc: 12.942 12.942 12.942
angles: 102.16 102.16 102.16
Element x y z (fractional)
Cs 0.140 0.840 0.754
Cs 0.160 0.246 0.860
Cs 0.210 0.428 0.522
Cs 0.246 0.860 0.160
Cs 0.428 0.522 0.210
Cs 0.478 0.790 0.572
Cs 0.522 0.210 0.428
Cs 0.572 0.478 0.790
Cs 0.754 0.140 0.840
Cs 0.790 0.572 0.478
Cs 0.840 0.754 0.140
Cs 0.860 0.160 0.246
K 0.023 0.487 0.172
K 0.172 0.023 0.487
K 0.487 0.172 0.023
K 0.513 0.828 0.977
K 0.828 0.977 0.513
K 0.977 0.513 0.828
Bi 0.500 0.500 0.500

Summary:
ΔH_f (0 K) = 0.00 eV/atom
calculated density = 1.70 g cm⁻³

Record 4
Entry from Alexandria: a relaxed Ce3Pm2Pt2 crystal (PBE).

abc: 6.275 6.275 8.940
angles: 111.86 111.86 35.76
Element x y z (fractional)
Ce 0.000 0.000 0.000
Ce 0.105 0.105 0.451
Ce 0.895 0.895 0.549
Pm 0.337 0.337 0.183
Pm 0.663 0.663 0.817
Pt 0.350 0.350 0.765
Pt 0.650 0.650 0.235

Summary:
ΔH_f (0 K) = -0.63 eV/atom
calculated density = 9.65 g cm⁻³

Record 5
Entry from Alexandria: a relaxed Ca2SBr crystal (PBE).

abc: 7.961 7.961 7.961
angles: 131.35 131.35 71.25
Element x y z (fractional)
Ca 0.087 0.625 0.962
Ca 0.375 0.337 0.462
Ca 0.663 0.125 0.038
Ca 0.875 0.913 0.538
S 0.000 0.000 0.000
S 0.750 0.250 0.500
Br 0.250 0.750 0.500
Br 0.500 0.500 0.000

Summary:
formation energy without anion corrections = -1.521 eV per atom
offset from the most stable computed form = 199 meV per atom
calculated density = 2.29 g cm⁻³

Record 6
Entry from Alexandria: a relaxed K2TaMn2S6 crystal (PBE).

abc: 5.936 5.936 7.781
angles: 96.57 96.57 120.45
Element x y z (fractional)
K 0.164 0.836 0.000
K 0.836 0.164 0.000
Ta 0.000 0.000 0.500
Mn 0.342 0.658 0.500
Mn 0.658 0.342 0.500
S 0.054 0.404 0.677
S 0.296 0.296 0.314
S 0.404 0.054 0.677
S 0.596 0.946 0.323
S 0.704 0.704 0.686
S 0.946 0.596 0.323

Summary:
formation energy without anion corrections = -0.860 eV per atom
calculated density = 4.05 g cm⁻³

Record 7
Entry from Alexandria: a relaxed Cu3HgPd4 crystal (PBE).

abc: 4.332 4.332 6.357
angles: 90.00 90.00 90.00
Element x y z (fractional)
Cu 0.000 0.000 0.000
Cu 0.000 0.000 0.500
Cu 0.500 0.500 0.000
Hg 0.500 0.500 0.500
Pd 0.000 0.500 0.232
Pd 0.000 0.500 0.768
Pd 0.500 0.000 0.232
Pd 0.500 0.000 0.768

Summary:
ΔH_f (0 K) = -0.12 eV/atom
calculated density = 11.37 g cm⁻³

Record 8
Entry from Alexandria: a relaxed Rb2DyCd2S4 crystal (PBE).

abc: 8.466 8.466 8.294
angles: 113.09 113.09 27.61
Element x y z (fractional)
Rb 0.126 0.126 0.056
Rb 0.874 0.874 0.944
Dy 0.000 0.000 0.500
Cd 0.314 0.314 0.479
Cd 0.686 0.686 0.521
S 0.182 0.182 0.717
S 0.476 0.476 0.711
S 0.524 0.524 0.289
S 0.818 0.818 0.283

Summary:
formation energy without anion corrections = -1.128 eV per atom
calculated density = 4.52 g cm⁻³

Record 9
Entry from Alexandria: a relaxed PmLuTh2 crystal (PBE).

abc: 5.011 5.011 5.107
angles: 90.00 90.00 90.00
Element x y z (fractional)
Pm 0.000 0.000 0.000
Lu 0.500 0.500 0.000
Th 0.000 0.500 0.500
Th 0.500 0.000 0.500

Summary:
offset from the most stable computed form = 0 meV per atom
ΔH_f (0 K) = 0.06 eV/atom
calculated density = 10.15 g cm⁻³

Record 10
Entry from Alexandria: a relaxed Zr3Zn2CoRh3 crystal (PBE).

abc: 7.495 7.495 3.013
angles: 90.00 90.00 120.00
Element x y z (fractional)
Zr 0.000 0.730 0.000
Zr 0.270 0.270 0.000
Zr 0.730 0.000 0.000
Zn 0.333 0.667 0.000
Zn 0.667 0.333 0.000
Co 0.000 0.000 0.500
Rh 0.000 0.386 0.500
Rh 0.386 0.000 0.500
Rh 0.614 0.614 0.500

Summary:
ΔH_f (0 K) = -0.50 eV/atom
calculated density = 8.75 g cm⁻³

Record 11
Entry from Alexandria: a relaxed NbV2P crystal (PBE).

abc: 4.924 4.924 7.379
angles: 90.00 90.00 140.64
Element x y z (fractional)
Nb 0.044 0.956 0.750
Nb 0.956 0.044 0.250
V 0.351 0.649 0.552
V 0.351 0.649 0.948
V 0.649 0.351 0.052
V 0.649 0.351 0.448
P 0.242 0.758 0.250
P 0.758 0.242 0.750

Summary:
ΔH_f (0 K) = -0.71 eV/atom
calculated density = 6.61 g cm⁻³

Record 12
Entry from Alexandria: a relaxed BaMnCo2Se crystal (PBE).

abc: 4.530 4.530 6.084
angles: 90.00 90.00 90.00
Element x y z (fractional)
Ba 0.000 0.000 0.000
Mn 0.500 0.500 0.000
Co 0.000 0.500 0.500
Co 0.500 0.000 0.500
Se 0.000 0.000 0.500

Summary:
formation energy without anion corrections = 0.689 eV per atom
calculated density = 5.18 g cm⁻³

Record 13
Entry from Alexandria: a relaxed La3Y2In3 crystal (PBE).

abc: 11.998 11.998 11.998
angles: 161.24 153.05 33.04
Element x y z (fractional)
La 0.000 0.000 0.000
La 0.378 0.878 0.500
La 0.622 0.122 0.500
Y 0.235 0.235 0.000
Y 0.765 0.765 0.000
In 0.125 0.625 0.500
In 0.500 0.500 0.000
In 0.875 0.375 0.500

Summary:
ΔH_f (0 K) = -0.38 eV/atom
calculated density = 6.20 g cm⁻³

Record 14
Entry from Alexandria: a relaxed Ti2CdGe2 crystal (PBE).

abc: 7.737 7.737 2.998
angles: 90.00 90.00 90.00
Element x y z (fractional)
Ti 0.128 0.372 0.000
Ti 0.372 0.872 0.000
Ti 0.628 0.128 0.000
Ti 0.872 0.628 0.000
Cd 0.000 0.000 0.000
Cd 0.500 0.500 0.000
Ge 0.169 0.669 0.500
Ge 0.331 0.169 0.500
Ge 0.669 0.831 0.500
Ge 0.831 0.331 0.500

Summary:
offset from the most stable computed form = 67 meV per atom
ΔH_f (0 K) = -0.22 eV/atom
calculated density = 6.54 g cm⁻³

Record 15
Entry from Alexandria: a relaxed ScTa2NiI crystal (PBE).

abc: 4.988 4.988 5.110
angles: 90.00 90.00 90.00
Element x y z (fractional)
Sc 0.000 0.000 0.000
Ta 0.000 0.500 0.500
Ta 0.500 0.000 0.500
Ni 0.500 0.500 0.000
I 0.000 0.000 0.500

Summary:
formation energy without anion corrections = 1.925 eV per atom
calculated density = 7.74 g cm⁻³

Record 16
Entry from Alexandria: a relaxed Tl5S2Br crystal (PBE).

abc: 7.119 7.119 14.030
angles: 90.00 90.00 128.19
Element x y z (fractional)
Tl 0.058 0.942 0.625
Tl 0.058 0.942 0.875
Tl 0.262 0.738 0.250
Tl 0.360 0.640 0.523
Tl 0.360 0.640 0.977
Tl 0.640 0.360 0.023
Tl 0.640 0.360 0.477
Tl 0.738 0.262 0.750
Tl 0.942 0.058 0.125
Tl 0.942 0.058 0.375
S 0.152 0.848 0.064
S 0.152 0.848 0.436
S 0.848 0.152 0.564
S 0.848 0.152 0.936
Br 0.338 0.662 0.750
Br 0.662 0.338 0.250

Summary:
formation energy without anion corrections = -0.367 eV per atom
calculated density = 6.93 g cm⁻³

Record 17
Entry from Alexandria: a relaxed Sn4IrAu2 crystal (PBE).

abc: 4.124 6.887 6.935
angles: 118.26 90.18 107.24
Element x y z (fractional)
Sn 0.100 0.199 0.448
Sn 0.382 0.761 0.043
Sn 0.618 0.239 0.957
Sn 0.900 0.801 0.552
Ir 0.000 0.000 0.000
Au 0.258 0.517 0.276
Au 0.742 0.483 0.724

Summary:
ΔH_f (0 K) = -0.19 eV/atom
calculated density = 10.79 g cm⁻³

Record 18
Entry from Alexandria: a relaxed LiTiAl crystal (PBE).

abc: 4.943 4.943 7.843
angles: 111.62 111.62 33.68
Element x y z (fractional)
Li 0.164 0.164 0.072
Li 0.836 0.836 0.928
Ti 0.160 0.160 0.573
Ti 0.840 0.840 0.427
Al 0.494 0.494 0.751
Al 0.506 0.506 0.249

Summary:
offset from the most stable computed form = 67 meV per atom
ΔH_f (0 K) = -0.14 eV/atom
calculated density = 2.77 g cm⁻³

Record 19
Entry from Alexandria: a relaxed Y2Al3SiPt4 crystal (PBE).

abc: 4.160 4.160 10.492
angles: 90.00 90.00 90.00
Element x y z (fractional)
Y 0.000 0.500 0.241
Y 0.500 0.000 0.759
Al 0.000 0.000 0.000
Al 0.000 0.500 0.635
Al 0.500 0.000 0.365
Si 0.500 0.500 0.000
Pt 0.000 0.000 0.500
Pt 0.000 0.500 0.869
Pt 0.500 0.000 0.131
Pt 0.500 0.500 0.500

Summary:
formation energy without anion corrections = -1.122 eV per atom
calculated density = 9.76 g cm⁻³

Record 20
Entry from Alexandria: a relaxed La4Tb3Pm crystal (PBE).

abc: 11.804 7.391 6.422
angles: 90.00 90.00 90.00
Element x y z (fractional)
La 0.000 0.127 0.000
La 0.000 0.871 0.512
La 0.245 0.126 0.333
La 0.255 0.874 0.833
La 0.500 0.129 0.012
La 0.500 0.873 0.500
La 0.745 0.874 0.833
La 0.755 0.126 0.333
Tb 0.000 0.380 0.503
Tb 0.250 0.379 0.834
Tb 0.250 0.621 0.334
Tb 0.500 0.620 0.003
Tb 0.750 0.379 0.834
Tb 0.750 0.621 0.334
Pm 0.000 0.625 0.005
Pm 0.500 0.375 0.505

Summary:
offset from the most stable computed form = 0 meV per atom
ΔH_f (0 K) = 0.03 eV/atom
calculated density = 6.98 g cm⁻³